[1]
# AgB2Mo

AgB2Mo after structural relaxation (PBE-GGA, Alexandria via LeMat-Bulk).

Values from the calculation:
M_tot	0.00	μB/atom
calculated formation energy	886	meV/atom
final energy	-5.87	eV per atom
volume	11.213	A^3/atom

Structure (POSCAR):
```
AgB2Mo
1.0
1.904 -3.492 0.297
-1.191 -3.113 -2.189
2.263 -1.300 -3.015
B Mo Ag
2 1 1
Direct
0.250 0.250 0.250
0.750 0.750 0.750
0.000 0.000 0.000
0.500 0.500 0.500
```

***

[2]
# AgBMo3

AgBMo3 after structural relaxation (PBE-GGA, Alexandria via LeMat-Bulk).

Values from the calculation:
M_tot	0.00	μB/atom
calculated formation energy	380	meV/atom
final energy	-8.02	eV per atom
volume	15.002	A^3/atom

Structure (POSCAR):
```
AgBMo3
1.0
4.217 0.000 0.000
0.000 4.217 0.000
0.000 0.000 4.217
B Mo Ag
1 3 1
Direct
0.000 0.000 0.000
0.000 0.000 0.500
0.000 0.500 0.000
0.500 0.000 0.000
0.500 0.500 0.500
```

***

[3]
# AgB2Mo

AgB2Mo after structural relaxation (PBE-GGA, Alexandria via LeMat-Bulk).

Values from the calculation:
M_tot	0.00	μB/atom
calculated formation energy	817	meV/atom
final energy	-5.94	eV per atom
volume	12.501	A^3/atom

Structure (POSCAR):
```
AgB2Mo
1.0
-1.631 -3.748 -4.235
1.450 -4.537 3.458
-2.772 -4.185 0.681
Ag B Mo
2 4 2
Direct
0.000 0.000 0.000
0.750 0.250 0.500
0.375 0.387 0.750
0.137 0.625 0.250
0.875 0.863 0.750
0.613 0.125 0.250
0.250 0.750 0.500
0.500 0.500 0.000
```

***

[4]
# AgBMo2

AgBMo2 after structural relaxation (PBE-GGA, Alexandria via LeMat-Bulk).

Values from the calculation:
M_tot	0.00	μB/atom
calculated formation energy	1216	meV/atom
final energy	-6.58	eV per atom
volume	18.025	A^3/atom

Structure (POSCAR):
```
AgBMo2
1.0
-3.596 -2.659 1.033
0.663 -2.396 -3.858
2.671 -6.812 1.959
Ag Mo B
2 4 2
Direct
0.750 0.250 0.500
0.000 0.000 0.000
0.507 0.125 0.250
0.243 0.625 0.250
0.375 0.493 0.750
0.875 0.757 0.750
0.500 0.500 0.000
0.250 0.750 0.500
```

***

[5]
# Ag2B2Mo

Ag2B2Mo after structural relaxation (PBE-GGA, Alexandria via LeMat-Bulk).

Values from the calculation:
M_tot	0.00	μB/atom
calculated formation energy	899	meV/atom
final energy	-5.08	eV per atom
volume	12.633	A^3/atom

Structure (POSCAR):
```
Ag2B2Mo
1.0
6.627 0.000 0.000
0.000 6.627 0.000
0.000 0.000 2.876
B Ag Mo
4 4 2
Direct
0.837 0.663 0.000
0.337 0.837 0.000
0.663 0.163 0.000
0.163 0.337 0.000
0.855 0.355 0.500
0.355 0.145 0.500
0.645 0.855 0.500
0.145 0.645 0.500
0.500 0.500 0.000
0.000 0.000 0.000
```

***

[6]
# Ag2B2Mo

Ag2B2Mo after structural relaxation (PBE-GGA, Alexandria via LeMat-Bulk).

Values from the calculation:
M_tot	0.00	μB/atom
calculated formation energy	704	meV/atom
final energy	-5.27	eV per atom
volume	12.631	A^3/atom

Structure (POSCAR):
```
Ag2B2Mo
1.0
3.598 0.000 0.000
0.000 3.598 0.000
1.799 1.799 4.880
B Mo Ag
2 1 2
Direct
0.415 0.415 0.170
0.585 0.585 0.830
0.000 0.000 0.000
0.750 0.250 0.500
0.250 0.750 0.500
```

***

[7]
# AgBMo3

AgBMo3 after structural relaxation (PBE-GGA, Alexandria via LeMat-Bulk).

Values from the calculation:
M_tot	0.00	μB/atom
calculated formation energy	3296	meV/atom
final energy	-5.11	eV per atom
volume	21.592	A^3/atom

Structure (POSCAR):
```
AgBMo3
1.0
-2.631 1.564 3.647
-3.259 -3.348 -0.915
2.264 -3.002 2.921
Mo Ag B
3 1 1
Direct
0.000 0.000 0.500
0.000 0.500 0.000
0.500 0.000 0.000
0.000 0.000 0.000
0.500 0.500 0.500
```

***

[8]
# AgBMoOs2

AgBMoOs2 after structural relaxation (PBE-GGA, Alexandria via LeMat-Bulk).

Values from the calculation:
M_tot	0.00	μB/atom
calculated formation energy	2807	meV/atom
final energy	-5.76	eV per atom
volume	22.376	A^3/atom

Structure (POSCAR):
```
AgBMoOs2
1.0
4.651 0.000 0.000
0.000 5.172 0.000
0.000 0.000 4.651
Os Mo B Ag
2 1 1 1
Direct
0.500 0.000 0.000
0.000 0.000 0.500
0.000 0.000 0.000
0.500 0.500 0.500
0.000 0.500 0.000
```

***

[9]
# Ag2BMoW

Ag2BMoW after structural relaxation (PBE-GGA, Alexandria via LeMat-Bulk).

Values from the calculation:
M_tot	0.00	μB/atom
calculated formation energy	2482	meV/atom
final energy	-4.75	eV per atom
volume	24.441	A^3/atom

Structure (POSCAR):
```
Ag2BMoW
1.0
-4.346 -1.602 -2.228
1.431 -4.384 0.363
-2.237 -0.348 4.614
W B Ag Mo
1 1 2 1
Direct
0.000 0.000 0.000
0.500 0.500 0.500
0.500 0.000 0.000
0.000 0.000 0.500
0.000 0.500 0.000
```

***

[10]
# Y2AgBMo

Y2AgBMo after structural relaxation (PBE-GGA, Alexandria via LeMat-Bulk).

Values from the calculation:
M_tot	0.37	μB/atom
calculated formation energy	1691	meV/atom
final energy	-4.97	eV per atom
volume	28.763	A^3/atom

Structure (POSCAR):
```
Y2AgBMo
1.0
-0.579 5.141 1.562
-1.319 -1.515 4.496
5.174 0.110 1.556
B Y Ag Mo
1 2 1 1
Direct
0.500 0.500 0.500
0.000 0.000 0.500
0.500 0.000 0.000
0.000 0.000 0.000
0.000 0.500 0.000
```

***

[11]
# AgBN2

AgBN2 after structural relaxation (PBE-GGA, Alexandria via LeMat-Bulk).

Values from the calculation:
M_tot	0.00	μB/atom
final energy	-6.16	eV per atom
volume	9.336	A^3/atom

Structure (POSCAR):
```
AgBN2
1.0
-0.849 -3.386 2.934
1.952 -2.967 -2.859
3.728 -2.607 1.614
N B Ag
4 2 2
Direct
0.875 0.759 0.750
0.509 0.125 0.250
0.241 0.625 0.250
0.375 0.491 0.750
0.250 0.750 0.500
0.500 0.500 0.000
0.000 0.000 0.000
0.750 0.250 0.500
```

***

[12]
# AgB3N

AgB3N after structural relaxation (PBE-GGA, Alexandria via LeMat-Bulk).

Values from the calculation:
M_tot	0.00	μB/atom
final energy	-4.35	eV per atom
volume	9.212	A^3/atom

Structure (POSCAR):
```
AgB3N
1.0
-0.143 -3.579 0.126
0.915 -0.158 -3.462
3.463 -0.106 0.920
N B Ag
1 3 1
Direct
0.000 0.000 0.000
0.000 0.500 0.000
0.000 0.000 0.500
0.500 0.000 0.000
0.500 0.500 0.500
```

***

[13]
# AgBN3

AgBN3 after structural relaxation (PBE-GGA, Alexandria via LeMat-Bulk).

Values from the calculation:
M_tot	0.88	μB/atom
final energy	-3.56	eV per atom
volume	13.760	A^3/atom

Structure (POSCAR):
```
AgBN3
1.0
-3.284 1.044 2.216
1.019 -2.789 2.824
2.228 2.815 1.975
B N Ag
1 3 1
Direct
0.500 0.500 0.500
0.000 0.000 0.500
0.000 0.500 0.000
0.500 0.000 0.000
0.000 0.000 0.000
```

***

[14]
# Ag2BN

Ag2BN after structural relaxation (PBE-GGA, Alexandria via LeMat-Bulk).

Values from the calculation:
M_tot	0.00	μB/atom
final energy	-3.66	eV per atom
volume	12.026	A^3/atom

Structure (POSCAR):
```
Ag2BN
1.0
-0.523 -3.016 -2.701
-2.943 -2.770 0.577
-3.285 -0.023 -2.423
Ag B N
2 1 1
Direct
0.750 0.750 0.750
0.250 0.250 0.250
0.000 0.000 0.000
0.500 0.500 0.500
```

***

[15]
# Ag2BN

Ag2BN after structural relaxation (PBE-GGA, Alexandria via LeMat-Bulk).

Values from the calculation:
M_tot	0.00	μB/atom
final energy	-3.67	eV per atom
volume	14.713	A^3/atom

Structure (POSCAR):
```
Ag2BN
1.0
-2.155 -2.431 2.860
3.562 -2.364 0.674
2.422 1.507 6.381
B Ag N
2 4 2
Direct
0.250 0.750 0.500
0.500 0.500 0.000
0.121 0.625 0.250
0.629 0.125 0.250
0.875 0.879 0.750
0.375 0.371 0.750
0.000 0.000 0.000
0.750 0.250 0.500
```

***

[16]
# AgB2N

AgB2N after structural relaxation (PBE-GGA, Alexandria via LeMat-Bulk).

Values from the calculation:
M_tot	0.00	μB/atom
final energy	-5.72	eV per atom
volume	9.380	A^3/atom

Structure (POSCAR):
```
AgB2N
1.0
4.757 0.000 0.000
0.000 4.757 0.000
2.379 2.379 3.316
B Ag N
4 2 2
Direct
0.238 0.625 0.250
0.512 0.125 0.250
0.875 0.762 0.750
0.375 0.488 0.750
0.750 0.250 0.500
0.000 0.000 0.000
0.250 0.750 0.500
0.500 0.500 0.000
```

***

[17]
# AgBN2

AgBN2 after structural relaxation (PBE-GGA, Alexandria via LeMat-Bulk).

Values from the calculation:
M_tot	0.00	μB/atom
final energy	-5.92	eV per atom
volume	12.658	A^3/atom

Structure (POSCAR):
```
AgBN2
1.0
1.110 4.939 1.564
4.017 3.079 1.566
2.754 4.304 -1.403
N B Ag
2 1 1
Direct
0.909 0.909 0.909
0.091 0.091 0.091
0.000 0.000 0.000
0.500 0.500 0.500
```

***

[18]
# AgB3N

AgB3N after structural relaxation (PBE-GGA, Alexandria via LeMat-Bulk).

Values from the calculation:
M_tot	0.21	μB/atom
final energy	-3.33	eV per atom
volume	14.242	A^3/atom

Structure (POSCAR):
```
AgB3N
1.0
-2.213 3.166 1.503
-2.966 -2.639 1.192
1.867 -0.439 3.674
N B Ag
1 3 1
Direct
0.500 0.500 0.500
0.000 0.000 0.500
0.000 0.500 0.000
0.500 0.000 0.000
0.000 0.000 0.000
```

***

[19]
# AgBN3

AgBN3 after structural relaxation (PBE-GGA, Alexandria via LeMat-Bulk).

Values from the calculation:
M_tot	0.00	μB/atom
final energy	-5.09	eV per atom
volume	8.320	A^3/atom

Structure (POSCAR):
```
AgBN3
1.0
3.465 0.000 0.000
0.000 3.465 0.000
0.000 0.000 3.465
N Ag B
3 1 1
Direct
0.500 0.000 0.000
0.000 0.000 0.500
0.000 0.500 0.000
0.500 0.500 0.500
0.000 0.000 0.000
```

***

[20]
# AgB3N3

AgB3N3 after structural relaxation (PBE-GGA, Alexandria via LeMat-Bulk).

Values from the calculation:
M_tot	0.00	μB/atom
final energy	-6.71	eV per atom
volume	7.515	A^3/atom

Structure (POSCAR):
```
AgB3N3
1.0
4.721 0.000 0.000
0.000 4.721 0.000
0.000 0.000 4.721
B N Ag
6 6 2
Direct
0.000 0.500 0.750
0.000 0.500 0.250
0.500 0.250 0.000
0.500 0.750 0.000
0.750 0.000 0.500
0.250 0.000 0.500
0.250 0.500 0.000
0.750 0.500 0.000
0.000 0.250 0.500
0.500 0.000 0.250
0.500 0.000 0.750
0.000 0.750 0.500
0.000 0.000 0.000
0.500 0.500 0.500
```